# KMnP2

An optimized crystal structure of KMnP2 (PBEsol, Alexandria via LeMat-Bulk).

Structure (POSCAR):
```
KMnP2
1.0
-2.428 2.763 0.469
-1.639 1.547 -2.944
-6.302 -2.982 -0.394
Mn P K
1 2 1
Cartesian
0.000 0.000 0.000 Mn
-8.293 0.534 -2.107 P
-2.075 0.794 -0.762 P
-5.184 0.664 -1.435 K
```

Properties
- Energy of formation from the pure elements: -0.2221 eV/atom
- DFT total energy: -5.841 eV per atom
- Energy relative to the lowest polymorph listed for this composition: 0 meV/atom
- Volume: 19.78 Å³/atom

# K6MnP4

An optimized crystal structure of K6MnP4 (PBEsol, Alexandria via LeMat-Bulk).

Structure (POSCAR):
```
K6MnP4
1.0
7.802 0.000 0.000
0.000 9.773 0.000
0.000 -4.887 8.464
K Mn P
12 2 8
Cartesian
4.969 -1.979 4.500 K
3.546 2.115 1.221 K
7.447 2.772 7.243 K
1.068 2.908 3.964 K
3.546 7.658 1.221 K
1.068 4.887 0.537 K
4.969 1.979 4.500 K
1.068 6.865 3.964 K
7.447 0.000 2.442 K
4.969 0.000 7.928 K
7.447 -2.772 7.243 K
3.546 4.887 6.022 K
1.917 0.000 5.643 Mn
5.818 4.887 2.821 Mn
7.554 0.000 5.643 P
2.612 -1.793 6.678 P
3.653 4.887 2.821 P
2.612 0.000 3.572 P
2.612 1.793 6.678 P
6.513 6.680 1.786 P
6.513 3.094 1.786 P
6.513 4.887 4.892 P
```

Properties
- Energy of formation from the pure elements: -0.2676 eV/atom
- DFT total energy: -3.879 eV per atom
- Volume: 29.34 Å³/atom

# KMnP2

An optimized crystal structure of KMnP2 (PBEsol, Alexandria via LeMat-Bulk).

Structure (POSCAR):
```
KMnP2
1.0
-2.128 -0.585 -1.367
3.013 -1.152 -4.198
0.339 -5.028 1.623
K P Mn
1 2 1
Cartesian
0.613 -3.382 -1.971 K
0.170 -2.514 0.812 P
1.507 -0.576 -2.099 P
-1.064 -0.292 -0.683 Mn
```

Properties
- Energy of formation from the pure elements: 0.5002 eV/atom
- DFT total energy: -5.119 eV per atom
- Energy relative to the lowest polymorph listed for this composition: 722 meV/atom
- Volume: 18.19 Å³/atom

# K2MnP2Se6

An optimized crystal structure of K2MnP2Se6 (PBEsol, Alexandria via LeMat-Bulk).

Structure (POSCAR):
```
K2MnP2Se6
1.0
6.414 -0.002 0.000
-1.643 7.242 0.000
0.000 0.000 12.726
Se Mn K P
12 2 4 4
Cartesian
1.608 2.027 5.741 Se
0.769 5.415 11.474 Se
-0.065 6.570 8.485 Se
4.002 1.825 1.252 Se
4.836 0.670 4.240 Se
0.778 1.593 12.104 Se
3.964 2.949 10.603 Se
0.808 4.291 2.122 Se
4.798 1.793 7.614 Se
-0.027 5.447 5.111 Se
3.993 5.647 0.622 Se
3.164 5.213 6.985 Se
-0.822 3.621 0.000 Mn
3.207 -0.001 6.363 Mn
1.288 0.463 2.557 K
3.483 6.777 10.169 K
1.097 3.157 8.920 K
3.674 4.083 3.806 K
6.094 1.020 6.016 P
2.065 4.641 0.347 P
-1.323 6.221 6.709 P
2.706 2.599 12.379 P
```

Properties
- Formation energy from raw total energies: -0.517 eV/atom
- DFT total energy: -4.764 eV per atom
- Volume: 26.87 Å³/atom